First-principles (meta-GGA SCAN) data for a PBEsol-optimized structure of BaNi2Mo, as listed in Alexandria via LeMat-Bulk.

The value obtained for the density of states at the Fermi level is 2.5 states/eV/cell. The calculated formation energy is 1.2313 eV per atom. The distance to the lowest polymorph of the same formula comes out at 275 meV/atom.

abc: 4.5258 4.5258 4.5258
angles: 60.00 60.00 60.00
Fractional positions:
Mo  0.2500  0.2500  0.2500
Ni  0.7500  0.7500  0.7500
Ni  0.0000  0.0000  0.0000
Ba  0.5000  0.5000  0.5000

***

First-principles (meta-GGA SCAN) data for a PBEsol-optimized structure of AgTeAu2C, as listed in Alexandria via LeMat-Bulk.

The value obtained for the density of states at the Fermi level is 1.6 states/eV/cell. For the energy relative to the elements, uncorrected, the calculation gives 1442 meV per atom.

abc: 4.1579 5.1897 5.1897
angles: 90.00 90.00 90.00
Fractional positions:
Au  0.0000  0.5000  0.0000
Au  0.0000  0.0000  0.5000
Te  0.0000  0.0000  0.0000
C  0.5000  0.0000  0.0000
Ag  0.5000  0.5000  0.5000

***

First-principles (meta-GGA SCAN) data for a PBEsol-optimized structure of TiBi2O4F2, as listed in Alexandria via LeMat-Bulk.

The value obtained for the density of states at the Fermi level is 0.0 states/eV/cell. For the energy relative to the elements, uncorrected, the calculation gives -2235 meV per atom.

abc: 3.8343 3.8343 8.0678
angles: 103.75 103.75 90.00
Fractional positions:
O  0.7500  0.2500  0.5000
O  0.2500  0.7500  0.5000
O  0.0000  0.5000  0.0000
O  0.5000  0.0000  0.0000
F  0.1290  0.1290  0.2579
F  0.8710  0.8710  0.7421
Bi  0.6665  0.6665  0.3330
Bi  0.3335  0.3335  0.6670
Ti  0.0000  0.0000  0.0000

***

First-principles (meta-GGA SCAN) data for a PBEsol-optimized structure of Mg2TaAu, as listed in Alexandria via LeMat-Bulk.

The value obtained for the density of states at the Fermi level is 2.6 states/eV/cell. The calculated formation energy is 0.0315 eV per atom. The distance to the lowest polymorph of the same formula comes out at 73 meV/atom.

abc: 2.7397 5.3802 5.3802
angles: 114.23 90.00 90.00
Fractional positions:
Mg  0.0000  0.5000  0.0000
Mg  0.0000  0.0000  0.5000
Ta  0.5000  0.0000  0.0000
Au  0.5000  0.5000  0.5000

***

no.,raw total energy (eV per atom)
1,-25.4642
2,-41.9644
3,-25.0342
4,-36.3904